# TiGe2Os

A relaxed TiGe2Os crystal (PBE-GGA, Alexandria via LeMat-Bulk).

abc: 3.823 3.823 9.517
angles: 78.41 78.41 90.00
Element x y z (fractional)
Ge 0.628 0.125 0.250
Ti 0.500 0.500 0.000
Os 0.750 0.250 0.500
Ge 0.375 0.372 0.750
Ge 0.875 0.878 0.750
Os 0.000 0.000 0.000
Ge 0.122 0.625 0.250
Ti 0.250 0.750 0.500

Values from the calculation:
Space group ... I-42d (122)

---

# TbDy5Sc

A relaxed TbDy5Sc crystal (PBE-GGA, Alexandria via LeMat-Bulk).

abc: 6.096 7.736 7.554
angles: 120.80 113.79 90.00
Element x y z (fractional)
Dy 0.236 0.254 0.508
Sc 0.470 0.500 0.000
Dy 0.226 0.185 0.000
Dy 0.226 0.815 0.000
Dy 0.728 0.746 0.492
Tb 0.714 0.000 0.000
Dy 0.931 0.500 0.000

Values from the calculation:
Space group ... Imm2 (44)

---

no.,energy above the most stable polymorph in this dataset (eV per atom),formation energy (eV per formula unit)
1,0.216,0.47
2,0.770,6.54